## Li2ZnAs (PBE)

Data for an optimized crystal structure of Li2ZnAs.

Cell and atoms, written as CIF:
```
data_Li2ZnAs
_cell_length_a 4.0140
_cell_length_b 4.0140
_cell_length_c 7.6954
_cell_angle_alpha 90.00
_cell_angle_beta 90.00
_cell_angle_gamma 90.00
_space_group_name_H-M_alt 'I -4 m 2'
_space_group_IT_number 119
_space_group_name_Hall 'I -4 -2'
loop_
_atom_site_label
_atom_site_type_symbol
_atom_site_fract_x
_atom_site_fract_y
_atom_site_fract_z
_atom_site_occupancy
Li1 Li 0.0000 0.0000 0.0000 1
Li2 Li 0.0000 0.5000 0.2500 1
Zn1 Zn 0.0000 0.0000 0.5000 1
As1 As 0.0000 0.5000 0.7500 1
```

Computed properties:
ΔH_f (0 K), eV/atom: -0.3635
Raw total energy, eV per atom: -2.801
Energy above the lowest structure with this stoichiometry, eV/atom: 0.036
ρ, g cm⁻³: 4.13